No. 1
Density functional theory data (PBE-GGA) for an optimized crystal structure of CaZrTaO6.

Results
Mass density = 5.46 g cm⁻³
DFT total energy = -8.63 eV per atom

Lattice parameters (Å, degrees): 5.0068 5.0068 9.9069 90.00 90.00 90.00
Last column: nearest neighbours and their distance in Å.
Space group P4_2nm (No. 102)
Unique sites:
Ca  0.0000  0.0000  0.0000  6 O 2.27-2.43
Zr  0.0000  0.0000  0.6624  6 O 2.12-2.14
Ta  0.0000  0.0000  0.3368  6 O 1.98-2.03
O  0.1790  0.1790  0.4909  1 Ta 1.98, 1 Zr 2.12
O  0.2038  0.2038  0.1934  1 Ta 2.03, 1 Zr 2.12
O  0.2189  0.2189  0.8112  1 Ta 2.01, 1 Zr 2.14

=====

No. 2
Density functional theory data (PBE-GGA) for an optimized crystal structure of CaZrTaO2.

Results
Mass density = 5.39 g cm⁻³
DFT total energy = -6.89 eV per atom

Lattice parameters (Å, degrees): 4.0097 4.0097 6.6013 90.00 90.00 90.00
Last column: nearest neighbours and their distance in Å.
Space group P4/mmm (No. 123)
Unique sites:
Ca  0.0000  0.0000  0.0000  4 Zr 2.84
Zr  0.5000  0.5000  0.0000  4 Ca 2.84
Ta  0.0000  0.0000  0.5000  4 O 2.00
O  0.0000  0.5000  0.5000  2 Ta 2.00

=====

No. 3
Density functional theory data (PBE-GGA) for an optimized crystal structure of CaTbO.

Results
Mass density = 5.58 g cm⁻³
Distance to the lowest polymorph of the same formula = 0 meV per atom

Lattice parameters (Å, degrees): 3.4956 3.4956 6.0432 90.00 90.00 120.00
Last column: nearest neighbours and their distance in Å.
Space group P3m1 (No. 156)
Unique sites:
Ca  0.0000  0.0000  0.0000  3 O 2.45
Tb  0.6667  0.3333  0.5325  3 O 2.48
O  0.3333  0.6667  0.7707  3 Ca 2.45, 3 Tb 2.48

=====

No. 4
Density functional theory data (PBE-GGA) for an optimized crystal structure of Ca5TbO6.

Results
Mass density = 4.45 g cm⁻³
DFT total energy = -6.62 eV per atom

Lattice parameters (Å, degrees): 5.9240 10.2617 5.9248 90.00 109.45 90.00
Last column: nearest neighbours and their distance in Å.
Space group C2/m (No. 12)
Unique sites:
Ca  0.0000  0.0000  0.0000  6 O 2.41-2.47
Ca  0.0000  0.1665  0.5000  6 O 2.42-2.43
Ca  0.0000  0.3317  0.0000  6 O 2.41-2.46
Tb  0.0000  0.5000  0.5000  6 O 2.36-2.37
O  0.2435  0.5000  0.2547  1 Tb 2.36, 5 Ca 2.42-2.47
O  0.2446  0.3373  0.7456  1 Tb 2.37, 5 Ca 2.41-2.46

=====

No. 5
Density functional theory data (PBE-GGA) for an optimized crystal structure of CaTb3O.

Results
Mass density = 7.09 g cm⁻³
DFT total energy = -5.18 eV per atom

Lattice parameters (Å, degrees): 4.9963 4.9963 4.9963 90.00 90.00 90.00
Last column: nearest neighbours and their distance in Å.
Space group Pm-3m (No. 221)
Unique sites:
Ca  0.0000  0.0000  0.0000  12 Tb 3.53
Tb  0.0000  0.5000  0.5000  2 O 2.50
O  0.5000  0.5000  0.5000  6 Tb 2.50

=====

No. 6
Density functional theory data (PBE-GGA) for an optimized crystal structure of CaTbO2.

Results
Mass density = 6.65 g cm⁻³
Distance to the lowest polymorph of the same formula = 148 meV per atom

Lattice parameters (Å, degrees): 3.3547 3.3547 17.7594 90.00 90.00 120.00
Last column: nearest neighbours and their distance in Å.
Space group R3m (No. 160, hexagonal axes)
Unique sites:
Ca  0.0000  0.0000  0.0000  6 O 2.40-2.53
Tb  0.0000  0.0000  0.1743  6 O 2.39-2.43
O  0.0000  0.0000  0.5866  3 Tb 2.39, 3 Ca 2.40
O  0.0000  0.0000  0.7584  3 Tb 2.43, 3 Ca 2.53